# 1
CrAgPO2 | PBE with a Hubbard U | relaxed

Computed properties:
Total magnetization, μB/f.u.: 2.85
E, eV per formula unit: -22.78

Cell lengths 4.0006, 4.0006, 4.9778 Å; angles 90.00, 90.00, 90.00 degrees
With the nearest neighbours (Å) after each atom.
Fractional coordinates of all 5 atoms:
Cr 0.5000 0.5000 0.5000  4 P 2.83
O 0.0000 0.5000 0.0000  2 Ag 2.00
O 0.5000 0.0000 0.0000  2 Ag 2.00
Ag 0.0000 0.0000 0.0000  4 O 2.00
P 0.0000 0.0000 0.5000  2 Ag 2.49


# 2
TiFeO3 | PBE with a Hubbard U | relaxed

Computed properties:
Total magnetization, μB/f.u.: 0.00
E, eV per formula unit: -32.91

Cell lengths 3.6633, 3.6633, 3.6633 Å; angles 90.00, 90.00, 90.00 degrees
With the nearest neighbours (Å) after each atom.
Fractional coordinates of all 5 atoms:
Ti 0.5000 0.5000 0.5000  12 O 2.59
Fe 0.0000 0.0000 0.0000  6 O 1.83
O 0.0000 0.5000 0.0000  2 Fe 1.83
O 0.0000 0.0000 0.5000  2 Fe 1.83
O 0.5000 0.0000 0.0000  2 Fe 1.83